{"formula": "LiTc", "functional": "PBE-GGA", "state": "optimized geometry", "lattice_angstrom": [[3.0386, 0.0000, 0.0000], [0.0000, 4.0252, 0.0000], [0.0000, 0.0000, 4.6486]], "species": ["Tc", "Tc", "Li", "Li"], "fractional_positions": [[0.5000, 0.0000, 0.5000], [0.0000, 0.5000, 0.5000], [0.0000, 0.0000, 0.0000], [0.5000, 0.5000, 0.0000]], "crystal_system": "orthorhombic", "final_energy_ev_per_atom": -5.8749, "e_form_mev_per_atom": 265, "de_polymorph_kj_per_mol_fu": 33, "total_magnetization_mub_per_atom": 0.00}

***

{"formula": "HfTiSe2N", "functional": "PBE-GGA", "state": "optimized geometry", "lattice_angstrom": [[5.0297, 0.0000, 0.0000], [0.0000, 5.0297, 0.0000], [0.0000, 0.0000, 3.6897]], "species": ["N", "Ti", "Hf", "Se", "Se"], "fractional_positions": [[0.0000, 0.0000, 0.5000], [0.0000, 0.0000, 0.0000], [0.5000, 0.5000, 0.5000], [0.0000, 0.5000, 0.0000], [0.5000, 0.0000, 0.0000]], "e_form_raw_ev_per_atom": -0.332, "crystal_system": "tetragonal", "final_energy_ev_per_atom": -6.9609, "de_polymorph_kj_per_mol_fu": 0, "total_magnetization_mub_per_atom": 0.00}

***

{"formula": "Pr2HoTlN", "functional": "PBE-GGA", "state": "optimized geometry", "lattice_angstrom": [[-1.3544, -3.4552, 3.0318], [3.7622, 1.3199, 3.1849], [-3.1314, 3.2803, 2.3396]], "species": ["Ho", "Tl", "N", "Pr", "Pr"], "fractional_positions": [[0.5000, 0.0000, 0.0000], [0.5000, 0.5000, 0.5000], [0.0000, 0.0000, 0.0000], [0.0000, 0.5000, 0.0000], [0.0000, 0.0000, 0.5000]], "e_form_raw_ev_per_atom": -0.824, "crystal_system": "tetragonal", "final_energy_ev_per_atom": -5.7896, "total_magnetization_mub_per_atom": 0.00}